Entry 1:
Computed, not measured: a relaxed Cs2Sn2Te3 crystal at the PBE level of DFT.

Computed properties:
Uncorrected formation energy in eV per atom: -0.6272
Final energy in eV per cell: -47.056
Mass density in g cm⁻³: 4.2

a = 15.209 Å, b = 6.314 Å, c = 7.831 Å
α = 90.00°, β = 109.63°, γ = 90.00°
Space group C2/m (No. 12)
One atom of each set of equivalent atoms:
Cs 0.108 0.000 0.274 x4
Sn 0.160 0.500 0.870 x4
Te 0.000 0.500 0.000 x2
Te 0.179 0.000 0.800 x4

Entry 2:
Computed, not measured: a relaxed LaZrNi crystal at the PBE level of DFT.

Computed properties:
Final energy in eV per cell: -67.496
Mass density in g cm⁻³: 7.0
ΔH_f (0 K) in eV/f.u.: 2.38

a = 6.503 Å, b = 6.503 Å, c = 6.503 Å
α = 90.00°, β = 90.00°, γ = 90.00°
Space group F-43m (No. 216)
One atom of each set of equivalent atoms:
La 0.000 0.000 0.000 x4
Zr 0.250 0.250 0.250 x4
Ni 0.250 0.250 0.750 x4